This record from Alexandria describes La4ScCl at its PBEsol-relaxed geometry. The functional is meta-GGA SCAN.

Cell: 9.086 9.086 9.086 Å, 90.00 90.00 90.00°
Space group F-43m (No. 216)
One atom of each set of equivalent atoms:
La: 0.122 0.122 0.378 x16
Sc: 0.250 0.250 0.750 x4
Cl: 0.000 0.000 0.000 x4

Properties
The value obtained for the total magnetization is 3.9 μB/f.u. The density of states at the Fermi level comes out at 23.4 states/eV/cell.

This record from Alexandria describes LaScCl at its PBEsol-relaxed geometry. The functional is meta-GGA SCAN.

Cell: 3.4592 3.4592 7.1009 Å, 90.00 90.00 120.00°
Space group P3m1 (No. 156)
One atom of each set of equivalent atoms:
La: 0.0000 0.0000 0.0000 x1
Sc: 0.3333 0.6667 0.6156 x1
Cl: 0.6667 0.3333 0.3621 x1

Properties
The value obtained for the total magnetization is 0.6 μB/f.u. The density of states at the Fermi level comes out at 2.6 states/eV/cell.

This record from Alexandria describes LaSeCl at its PBEsol-relaxed geometry. The functional is meta-GGA SCAN.

Cell: 7.526 4.297 9.006 Å, 90.00 90.00 90.00°
Space group Pnma (No. 62)
One atom of each set of equivalent atoms:
La: 0.243 0.250 0.132 x4
Se: 0.041 0.250 0.828 x4
Cl: 0.135 0.250 0.440 x4

Properties
The value obtained for the total magnetization is 0.0 μB/f.u. The density of states at the Fermi level comes out at 0.0 states/eV/cell.

This record from Alexandria describes La3SeCl at its PBEsol-relaxed geometry. The functional is meta-GGA SCAN.

Cell: 5.638 5.638 5.638 Å, 90.00 90.00 90.00°
Space group Pm-3m (No. 221)
One atom of each set of equivalent atoms:
La: 0.000 0.000 0.500 x3
Se: 0.000 0.000 0.000 x1
Cl: 0.500 0.500 0.500 x1

Properties
The value obtained for the total magnetization is 4.2 μB/f.u. The density of states at the Fermi level comes out at 4.4 states/eV/cell.

This record from Alexandria describes LaSeCl at its PBEsol-relaxed geometry. The functional is meta-GGA SCAN.

Cell: 6.928 6.928 6.928 Å, 90.00 90.00 90.00°
Space group F-43m (No. 216)
One atom of each set of equivalent atoms:
La: 0.000 0.000 0.000 x4
Se: 0.250 0.250 0.750 x4
Cl: 0.250 0.250 0.250 x4

Properties
The value obtained for the total magnetization is 0.0 μB/f.u. The density of states at the Fermi level comes out at 0.0 states/eV/cell.

This record from Alexandria describes La2Se2Cl at its PBEsol-relaxed geometry. The functional is meta-GGA SCAN.

Cell: 8.006 8.006 3.961 Å, 90.00 90.00 90.00°
Space group P4/mbm (No. 127)
One atom of each set of equivalent atoms:
La: 0.159 0.341 0.000 x4
Se: 0.142 0.642 0.500 x4
Cl: 0.000 0.000 0.000 x2

Properties
The value obtained for the total magnetization is 0.0 μB/f.u. The density of states at the Fermi level comes out at 2.1 states/eV/cell.

This record from Alexandria describes LaTiSeCl2 at its PBEsol-relaxed geometry. The functional is meta-GGA SCAN.

Cell: 4.615 4.615 5.101 Å, 90.00 90.00 90.00°
Space group P4/mmm (No. 123)
One atom of each set of equivalent atoms:
La: 0.000 0.000 0.000 x1
Ti: 0.500 0.500 0.500 x1
Se: 0.500 0.500 0.000 x1
Cl: 0.000 0.500 0.500 x2

Properties
The value obtained for the total magnetization is 2.1 μB/f.u. The density of states at the Fermi level comes out at 4.0 states/eV/cell.

This record from Alexandria describes La2WSeCl at its PBEsol-relaxed geometry. The functional is meta-GGA SCAN.

Cell: 5.443 5.443 4.582 Å, 90.00 90.00 90.00°
Space group P4/mmm (No. 123)
One atom of each set of equivalent atoms:
La: 0.000 0.500 0.000 x2
W: 0.000 0.000 0.000 x1
Se: 0.500 0.500 0.500 x1
Cl: 0.000 0.000 0.500 x1

Properties
The value obtained for the total magnetization is 0.0 μB/f.u. The density of states at the Fermi level comes out at 2.8 states/eV/cell.

This record from Alexandria describes La3SiCl at its PBEsol-relaxed geometry. The functional is meta-GGA SCAN.

Cell: 5.276 5.276 5.276 Å, 90.00 90.00 90.00°
Space group Pm-3m (No. 221)
One atom of each set of equivalent atoms:
La: 0.000 0.000 0.500 x3
Si: 0.500 0.500 0.500 x1
Cl: 0.000 0.000 0.000 x1

Properties
The value obtained for the total magnetization is 0.0 μB/f.u. The density of states at the Fermi level comes out at 5.0 states/eV/cell.

This record from Alexandria describes LaSi2Cl at its PBEsol-relaxed geometry. The functional is meta-GGA SCAN.

Cell: 3.418 3.418 7.641 Å, 90.00 90.00 90.00°
Space group P4mm (No. 99)
One atom of each set of equivalent atoms:
La: 0.000 0.000 0.000 x1
Si: 0.000 0.000 0.396 x1
Si: 0.500 0.500 0.293 x1
Cl: 0.500 0.500 0.788 x1

Properties
The value obtained for the total magnetization is 0.8 μB/f.u. Its energy above the most stable polymorph in this dataset is 140 meV per atom. The density of states at the Fermi level comes out at 2.1 states/eV/cell.

This record from Alexandria describes LaSiCl2 at its PBEsol-relaxed geometry. The functional is meta-GGA SCAN.

Cell: 7.008 7.008 7.008 Å, 90.00 90.00 90.00°
Space group Fm-3m (No. 225)
One atom of each set of equivalent atoms:
La: 0.000 0.000 0.000 x4
Si: 0.000 0.000 0.500 x4
Cl: 0.250 0.250 0.250 x8

Properties
The value obtained for the total magnetization is 0.0 μB/f.u. Its energy above the most stable polymorph in this dataset is 295 meV per atom. The density of states at the Fermi level comes out at 14.9 states/eV/cell.

This record from Alexandria describes LaSiCl2 at its PBEsol-relaxed geometry. The functional is meta-GGA SCAN.

Cell: 4.618 5.659 7.640 Å, 90.00 90.00 90.00°
Space group Cmm2 (No. 35)
One atom of each set of equivalent atoms:
La: 0.000 0.000 0.000 x2
Si: 0.000 0.500 0.248 x2
Cl: 0.000 0.000 0.384 x2
Cl: 0.000 0.500 0.781 x2

Properties
The value obtained for the total magnetization is 0.0 μB/f.u. Its energy above the most stable polymorph in this dataset is 242 meV per atom. The density of states at the Fermi level comes out at 3.6 states/eV/cell.

In eV/atom, the formation energy (no corrections) values for the records above are, in order, 0.15; -1.01; -2.50; -0.77; -2.45; -2.34; -1.50; -0.45; -0.56; -0.60; -0.84; -0.89.